Ge3SbSe6 | GGA-PBE | relaxed

Cell: 11.289 3.723 13.542 Å, 90.00 107.32 90.00°
Space group P2_1/m (No. 11)
Unique sites:
Ge (0.064, 0.250, 0.366) (multiplicity 2)
Ge (0.356, 0.750, 0.454) (multiplicity 2)
Ge (0.418, 0.250, 0.890) (multiplicity 2)
Sb (0.150, 0.750, 0.955) (multiplicity 2)
Se (0.016, 0.750, 0.138) (multiplicity 2)
Se (0.149, 0.750, 0.500) (multiplicity 2)
Se (0.254, 0.750, 0.798) (multiplicity 2)
Se (0.270, 0.250, 0.317) (multiplicity 2)
Se (0.393, 0.250, 0.068) (multiplicity 2)
Se (0.440, 0.250, 0.592) (multiplicity 2)

Summary:
Calculated density in g/cm3: 4.97
V in Å³/cell: 543
Formation energy without anion corrections in kJ/mol of atoms: -16.7
Density of states at the Fermi level in states/eV/atom: 0.198